Entry 1:
This record from the Alexandria database describes BeTl2Ru after structural relaxation. The functional is PBE.

Results
density: 11.33 g/cm3
calculated total energy: -3.53 eV/atom
formation energy from the elements: 903 meV/atom
excess energy over the best structure of this formula in the dataset: 658 meV/atom
space-group type: I-42d (122)

```
BeTl2Ru
1.0
-0.979 -6.579 -3.015
7.188 -1.240 0.372
2.773 -5.049 1.272
Be Tl Ru
2 4 2
Cartesian
3.104 -3.910 -1.322
6.532 -5.100 0.161
5.033 -3.063 0.081
4.630 -6.758 -0.025
7.291 -10.591 -1.370
1.010 -5.327 -1.427
0.000 0.000 0.000
2.449 -7.769 -1.532
```

Entry 2:
This record from the Alexandria database describes BeTl2Ru after structural relaxation. The functional is PBE.

Results
density: 11.86 g/cm3
calculated total energy: -3.62 eV/atom
formation energy from the elements: 818 meV/atom
excess energy over the best structure of this formula in the dataset: 573 meV/atom
space-group type: Fm-3m (225)

```
BeTl2Ru
1.0
0.000 3.312 3.312
3.312 0.000 3.312
3.312 3.312 0.000
Ru Tl Be
1 2 1
Cartesian
3.312 3.312 3.312
1.656 1.656 1.656
4.968 4.968 4.968
0.000 0.000 0.000
```

Entry 3:
This record from the Alexandria database describes BeTl2Ru after structural relaxation. The functional is PBE.

Results
density: 12.04 g/cm3
calculated total energy: -3.71 eV/atom
formation energy from the elements: 719 meV/atom
excess energy over the best structure of this formula in the dataset: 474 meV/atom
space-group type: I4/mmm (139)

```
BeTl2Ru
1.0
5.070 -0.001 -0.038
1.653 4.793 0.038
-3.339 -2.429 2.943
Be Ru Tl
1 1 2
Cartesian
2.547 -0.017 1.453
0.838 2.380 1.491
3.363 2.397 0.000
6.722 4.791 0.000
```

Entry 4:
This record from the Alexandria database describes BeTl2Ru after structural relaxation. The functional is PBE.

Results
density: 11.19 g/cm3
calculated total energy: -3.64 eV/atom
formation energy from the elements: 792 meV/atom
excess energy over the best structure of this formula in the dataset: 547 meV/atom
space-group type: C2/m (12)

```
BeTl2Ru
1.0
5.068 -0.005 -0.012
-2.535 4.871 0.012
-0.002 1.127 3.121
Ru Tl Be
1 2 1
Cartesian
1.267 2.433 0.000
0.000 0.000 0.000
2.533 0.561 1.554
-1.268 2.999 1.566
```

Entry 5:
This record from the Alexandria database describes BeTl2Ru after structural relaxation. The functional is PBE.

Results
density: 11.55 g/cm3
calculated total energy: -3.64 eV/atom
formation energy from the elements: 790 meV/atom
excess energy over the best structure of this formula in the dataset: 544 meV/atom
space-group type: P2/m (10)

```
BeTl2Ru
1.0
-0.049 -4.013 -0.994
0.071 -0.774 3.122
-5.595 -0.089 0.638
Be Tl Ru
1 2 1
Cartesian
-1.406 -2.222 0.443
-2.758 -0.353 1.564
-0.004 -0.078 0.317
-4.168 -2.654 2.323
```

Entry 6:
This record from the Alexandria database describes BeTl2Ru after structural relaxation. The functional is PBE.

Results
density: 11.56 g/cm3
calculated total energy: -3.67 eV/atom
formation energy from the elements: 762 meV/atom
excess energy over the best structure of this formula in the dataset: 517 meV/atom
space-group type: R-3m (166)

```
BeTl2Ru
1.0
-0.146 0.718 -8.384
-3.243 0.000 -7.766
-2.211 3.060 -7.522
Tl Be Ru
2 1 1
Cartesian
-0.018 0.012 -0.077
-2.782 1.876 -11.759
-4.200 2.833 -17.755
-1.400 0.944 -5.918
```

Entry 7:
This record from the Alexandria database describes BeTl2Ru after structural relaxation. The functional is PBE.

Results
density: 12.08 g/cm3
calculated total energy: -3.80 eV/atom
formation energy from the elements: 635 meV/atom
excess energy over the best structure of this formula in the dataset: 390 meV/atom
space-group type: I-4m2 (119)

```
BeTl2Ru
1.0
-4.026 1.070 3.256
-0.734 -3.473 3.918
4.114 2.699 -1.935
Be Tl Ru
1 2 1
Cartesian
-2.380 -1.201 3.587
0.500 -0.988 2.785
0.000 0.000 0.000
-1.146 1.284 2.454
```

Entry 8:
This record from the Alexandria database describes BeTl2Ru after structural relaxation. The functional is PBE.

Results
density: 11.19 g/cm3
calculated total energy: -3.58 eV/atom
formation energy from the elements: 856 meV/atom
excess energy over the best structure of this formula in the dataset: 611 meV/atom
space-group type: Cmmm (65)

```
BeTl2Ru
1.0
3.186 -0.008 0.000
-1.489 2.816 0.000
0.000 0.000 8.594
Ru Tl Be
1 2 1
Cartesian
0.848 1.404 6.445
0.000 0.000 0.073
0.000 0.000 4.224
0.848 1.404 2.148
```

The calculation returns the following magnetic moment values, one per record and in order: 0.01; 0.00; 0.00; 0.00; 0.00; 0.38; 0.00; 0.13 μB/cell.